a | Material: ScBeCr
Method: DFT, SCAN
State: PBEsol geometry

Summary:
Space-group type: I4mm, No. 107
Theoretical density: 4414 kg/m³

The structure in extended XYZ format:
```
6
Lattice="2.6727 0.0000 0.0000 0.0000 2.6727 0.0000 0.0000 0.0000 11.1600" Properties=species:S:1:pos:R:3 pbc="T T T"
Sc 0.0000 0.0000 0.0000
Sc 1.3364 1.3364 5.5800
Be 0.0000 0.0000 7.5729
Be 1.3364 1.3364 1.9929
Cr 0.0000 0.0000 3.4503
Cr 1.3364 1.3364 9.0302
```

***

b | Material: ScBeCr
Method: DFT, SCAN
State: PBEsol geometry

Summary:
Space-group type: P-6m2, No. 187
Theoretical density: 3944 kg/m³

The structure in extended XYZ format:
```
3
Lattice="4.0327 0.0000 0.0000 -2.0164 3.4924 0.0000 0.0000 0.0000 3.1679" Properties=species:S:1:pos:R:3 pbc="T T T"
Sc 0.0000 0.0000 0.0000
Be 0.0000 2.3283 1.5839
Cr 2.0164 1.1641 1.5839
```

***

Relative to the most stable one, in meV per atom, the structures come out at a 219; b 0.

***

a | Material: BeCr2Se
Method: DFT, SCAN
State: PBEsol geometry

Summary:
Space-group type: I-4m2, No. 119
Theoretical density: 6765 kg/m³

The structure in extended XYZ format:
```
8
Lattice="3.5108 0.0000 0.0000 0.0000 3.5108 0.0000 0.0000 0.0000 7.6459" Properties=species:S:1:pos:R:3 pbc="T T T"
Be 0.0000 0.0000 0.0000
Be 1.7554 1.7554 3.8230
Cr 0.0000 0.0000 3.8230
Cr 0.0000 1.7554 1.9115
Cr 1.7554 0.0000 5.7344
Cr 1.7554 1.7554 0.0000
Se 0.0000 1.7554 5.7344
Se 1.7554 0.0000 1.9115
```

***

b | Material: BeCr2Se
Method: DFT, SCAN
State: PBEsol geometry

Summary:
Space-group type: P4/mmm, No. 123
Theoretical density: 6814 kg/m³

The structure in extended XYZ format:
```
4
Lattice="3.9998 0.0000 0.0000 0.0000 3.9998 0.0000 0.0000 0.0000 2.9239" Properties=species:S:1:pos:R:3 pbc="T T T"
Be 0.0000 0.0000 0.0000
Cr 0.0000 1.9999 1.4620
Cr 1.9999 0.0000 1.4620
Se 1.9999 1.9999 0.0000
```

***

Relative to the most stable one, in meV per atom, the structures come out at a 0; b 99.

***

a | Material: BeCrW
Method: DFT, SCAN
State: PBEsol geometry

Summary:
Space-group type: Fmm2, No. 42
Theoretical density: 11283 kg/m³

The structure in extended XYZ format:
```
12
Lattice="3.1461 0.0000 0.0000 0.0000 4.1002 0.0000 0.0000 0.0000 11.1739" Properties=species:S:1:pos:R:3 pbc="T T T"
Be 0.0000 0.0000 0.0000
Be 0.0000 2.0501 5.5870
Be 1.5730 0.0000 5.5870
Be 1.5730 2.0501 0.0000
Cr 0.0000 0.0000 3.9416
Cr 0.0000 2.0501 9.5286
Cr 1.5730 0.0000 9.5286
Cr 1.5730 2.0501 3.9416
W 0.0000 0.0000 7.4374
W 0.0000 2.0501 1.8504
W 1.5730 0.0000 1.8504
W 1.5730 2.0501 7.4374
```

***

b | Material: BeCrW
Method: DFT, SCAN
State: PBEsol geometry

Summary:
Space-group type: Imm2, No. 44
Theoretical density: 11087 kg/m³

The structure in extended XYZ format:
```
6
Lattice="2.5153 0.0000 0.0000 0.0000 3.8478 0.0000 0.0000 0.0000 7.5781" Properties=species:S:1:pos:R:3 pbc="T T T"
Be 0.0000 0.0000 0.0000
Be 1.2577 1.9239 3.7891
Cr 0.0000 0.0000 4.9738
Cr 1.2577 1.9239 1.1847
W 0.0000 0.0000 2.5216
W 1.2577 1.9239 6.3107
```

***

Relative to the most stable one, in meV per atom, the structures come out at a 0; b 22.